(1)
## SiBW2 (PBE-GGA)

Data for crystalline SiBW2 at its relaxed geometry.

- calculated total energy (eV per atom) = -9.68
- theoretical density (g/cm³) = 12.7
- total magnetization (μB/atom) = 0.0003

a b c (Å): 3.2388 3.2388 11.6965
angles (deg): 90.00 90.00 120.00
Space group P6_3/mmc (No. 194)
Unique sites:
Si1 0.3333 0.6667 0.2500 (multiplicity 2)
B1 0.0000 0.0000 0.0000 (multiplicity 2)
W1 0.3333 0.6667 0.6007 (multiplicity 4)

(2)
## Pa3Zn5O12 (PBE-GGA)

Data for crystalline Pa3Zn5O12 at its relaxed geometry.

- calculated total energy (eV per atom) = -6.81
- theoretical density (g/cm³) = 8.2
- total magnetization (μB/atom) = 0.0501

a b c (Å): 12.5478 12.5478 12.5478
angles (deg): 90.00 90.00 90.00
Space group Ia-3d (No. 230)
Unique sites:
Pa1 0.0000 0.2500 0.1250 (multiplicity 24)
Zn1 0.0000 0.0000 0.0000 (multiplicity 16)
Zn2 0.0000 0.2500 0.3750 (multiplicity 24)
O1 0.0227 0.0650 0.6536 (multiplicity 96)

(3)
## Sc6Ge2Pd (PBE-GGA)

Data for crystalline Sc6Ge2Pd at its relaxed geometry.

- calculated total energy (eV per atom) = -6.46
- theoretical density (g/cm³) = 4.6
- total magnetization (μB/atom) = 0.3051

a b c (Å): 7.4232 7.4232 3.9279
angles (deg): 90.00 90.00 120.00
Space group P-62m (No. 189)
Unique sites:
Sc1 0.0000 0.4068 0.0000 (multiplicity 3)
Sc2 0.0000 0.7418 0.5000 (multiplicity 3)
Ge1 0.3333 0.6667 0.5000 (multiplicity 2)
Pd1 0.0000 0.0000 0.0000 (multiplicity 1)

(4)
## AcMg5Ir2 (PBE-GGA)

Data for crystalline AcMg5Ir2 at its relaxed geometry.

- calculated total energy (eV per atom) = -4.09
- theoretical density (g/cm³) = 6.9
- total magnetization (μB/atom) = 0.0002

a b c (Å): 4.2610 8.2945 9.9799
angles (deg): 90.00 90.00 90.00
Space group Immm (No. 71)
Unique sites:
Ac1 0.0000 0.0000 0.0000 (multiplicity 2)
Mg1 0.0000 0.1807 0.3289 (multiplicity 8)
Mg2 0.0000 0.5000 0.0000 (multiplicity 2)
Ir1 0.0000 0.5000 0.2641 (multiplicity 4)

(5)
## LiHfTcW (PBE-GGA)

Data for crystalline LiHfTcW at its relaxed geometry.

- energy above the lowest structure with this stoichiometry (meV/atom) = 84.3
- calculated total energy (eV per atom) = -8.66
- theoretical density (g/cm³) = 12.2
- total magnetization (μB/atom) = 0.0002

a b c (Å): 6.3376 6.3376 6.3376
angles (deg): 90.00 90.00 90.00
Space group F-43m (No. 216)
Unique sites:
Li1 0.0000 0.0000 0.0000 (multiplicity 4)
Hf1 0.2500 0.2500 0.7500 (multiplicity 4)
Tc1 0.2500 0.2500 0.2500 (multiplicity 4)
W1 0.0000 0.0000 0.5000 (multiplicity 4)

(6)
## Tm3SbN2 (PBE-GGA)

Data for crystalline Tm3SbN2 at its relaxed geometry.

- calculated total energy (eV per atom) = -7.13
- theoretical density (g/cm³) = 10.4
- total magnetization (μB/atom) = 0.0004

a b c (Å): 3.4782 3.4782 10.0279
angles (deg): 90.00 90.00 120.00
Space group P-3m1 (No. 164)
Unique sites:
Tm1 0.0000 0.0000 0.0000 (multiplicity 1)
Tm2 0.3333 0.6667 0.2609 (multiplicity 2)
Sb1 0.0000 0.0000 0.5000 (multiplicity 1)
N1 0.3333 0.6667 0.8581 (multiplicity 2)

(7)
## Zr3Al3NiIr2 (PBE-GGA)

Data for crystalline Zr3Al3NiIr2 at its relaxed geometry.

- calculated total energy (eV per atom) = -7.52
- theoretical density (g/cm³) = 8.6
- total magnetization (μB/atom) = 0.0002

a b c (Å): 3.5026 12.3461 7.1133
angles (deg): 90.00 90.00 90.00
Space group Amm2 (No. 38)
Unique sites:
Zr1 0.0000 0.0000 0.0000 (multiplicity 2)
Zr2 0.0000 0.2019 0.6053 (multiplicity 4)
Al1 0.5000 0.0000 0.6499 (multiplicity 2)
Al2 0.5000 0.1240 0.2795 (multiplicity 4)
Ni1 0.0000 0.0000 0.4026 (multiplicity 2)
Ir1 0.5000 0.1666 0.9033 (multiplicity 4)

(8)
## Sc2ZnAu (PBE-GGA)

Data for crystalline Sc2ZnAu at its relaxed geometry.

- calculated total energy (eV per atom) = -4.91
- theoretical density (g/cm³) = 7.6
- formation enthalpy at 0 K (meV/atom) = -611.8
- total magnetization (μB/atom) = 0.0012

a b c (Å): 6.7216 6.8057 6.7180
angles (deg): 90.00 90.00 90.00
Space group Imma (No. 74)
Unique sites:
Sc1 0.2500 0.0005 0.2500 (multiplicity 8)
Zn1 0.0000 0.2500 0.5010 (multiplicity 4)
Au1 0.0000 0.2500 0.9987 (multiplicity 4)

(9)
## HoBi2S4Cl (PBE-GGA)

Data for crystalline HoBi2S4Cl at its relaxed geometry.

- calculated total energy (eV per atom) = -4.86
- theoretical density (g/cm³) = 6.2
- total magnetization (μB/atom) = 0.0004

a b c (Å): 12.8494 3.9607 8.7731
angles (deg): 90.00 116.15 90.00
Space group C2/m (No. 12)
Unique sites:
Ho1 0.0000 0.0000 0.0000 (multiplicity 2)
Bi1 0.2062 0.0000 0.7291 (multiplicity 4)
S1 0.1251 0.5000 0.9433 (multiplicity 4)
S2 0.1710 0.0000 0.3217 (multiplicity 4)
Cl1 0.0000 0.5000 0.5000 (multiplicity 2)

(10)
## Hf4Nb2Au3N3 (PBE-GGA)

Data for crystalline Hf4Nb2Au3N3 at its relaxed geometry.

- calculated total energy (eV per atom) = -8.86
- theoretical density (g/cm³) = 13.6
- total magnetization (μB/atom) = 0.0005

a b c (Å): 9.7186 5.6481 14.0482
angles (deg): 90.00 103.28 90.00
Space group C2/c (No. 15)
Unique sites:
Hf1 0.1142 0.0837 0.0942 (multiplicity 8)
Hf2 0.2193 0.0842 0.4058 (multiplicity 8)
Nb1 0.0554 0.4190 0.9241 (multiplicity 8)
Au1 0.0000 0.1131 0.7500 (multiplicity 4)
Au2 0.1528 0.4290 0.2508 (multiplicity 8)
N1 0.0895 0.2309 0.4999 (multiplicity 8)
N2 0.2500 0.2500 0.0000 (multiplicity 4)

(11)
## CsGdTm (PBE-GGA)

Data for crystalline CsGdTm at its relaxed geometry.

- calculated total energy (eV per atom) = -2.07
- theoretical density (g/cm³) = 4.9
- total magnetization (μB/atom) = 1.0554

a b c (Å): 8.5636 8.5636 8.5636
angles (deg): 90.00 90.00 90.00
Space group F-43m (No. 216)
Unique sites:
Cs1 0.0000 0.0000 0.0000 (multiplicity 4)
Gd1 0.0000 0.0000 0.5000 (multiplicity 4)
Tm1 0.2500 0.2500 0.2500 (multiplicity 4)

(12)
## Gd6Al43Mo4 (PBE-GGA)

Data for crystalline Gd6Al43Mo4 at its relaxed geometry.

- calculated total energy (eV per atom) = -4.70
- theoretical density (g/cm³) = 4.4
- total magnetization (μB/atom) = 0.0000

a b c (Å): 11.0201 11.0201 17.8036
angles (deg): 90.00 90.00 120.00
Space group P6_3/mcm (No. 193)
Unique sites:
Gd1 0.0000 0.4693 0.0952 (multiplicity 12)
Al1 0.0000 0.1473 0.7500 (multiplicity 6)
Al2 0.0000 0.1595 0.1147 (multiplicity 12)
Al3 0.0000 0.2535 0.5304 (multiplicity 12)
Al4 0.1475 0.5513 0.2500 (multiplicity 12)
Al5 0.1578 0.3938 0.6643 (multiplicity 24)
Al6 0.2470 0.4940 0.0000 (multiplicity 12)
Al7 0.3333 0.6667 0.1260 (multiplicity 8)
Mo1 0.0000 0.0000 0.0000 (multiplicity 2)
Mo2 0.0000 0.2695 0.2500 (multiplicity 6)

- What is the theoretical density in the twelfth record?
  4.4 g/cm³